This record from Alexandria via LeMat-Bulk describes an optimized crystal structure of LaPaCrO6. The functional is PBE with a Hubbard U.

Total magnetic moment in μB per cell: 2.0
Energy in eV per atom: -8.48

Cell lengths 4.804, 5.506, 5.506 Å; angles 120.00, 90.00, 90.00 degrees
Site moments in Bohr magnetons follow the coordinates.
Sites, in units of the cell vectors:
La: 0.500 0.667 0.333  0.01
Pa: 0.000 0.333 0.667  0.03
Cr: 0.500 0.000 0.000  2.21
O: 0.737 0.688 0.723  -0.05
O: 0.737 0.277 0.965  -0.05
O: 0.737 0.035 0.312  -0.05
O: 0.263 0.277 0.312  -0.05
O: 0.263 0.688 0.965  -0.05
O: 0.263 0.035 0.723  -0.05